A plane-wave DFT calculation with PBE was carried out for a relaxed structure of SiAgTe3.

Unit cell a=5.282 b=5.282 c=5.282 alpha=90.00 beta=90.00 gamma=90.00
Atoms (fractional coordinates):
Si 0.000 0.000 0.000
Te 0.000 0.500 0.000
Te 0.000 0.000 0.500
Te 0.500 0.000 0.000
Ag 0.500 0.500 0.500

Symmetry: Pm-3m
Energy relative to the lowest polymorph listed for this composition, meV/atom: 412
Total DFT energy (no corrections), eV for the cell shown: -15.06
Crystal system: cubic
Energy relative to the elements, uncorrected, eV/atom: 0.529